# 1
Below is a relaxed structure of K4NaF5, with properties calculated at the GGA-PBE level.

Cell and atoms, written as CIF:
```
data_K4NaF5
_chemical_formula_sum 'K8 Na2 F10'
_space_group_name_H-M_alt 'I 4/m m m'
_space_group_IT_number 139
_space_group_name_Hall '-I 4 2'
_cell_length_a 3.7629
_cell_length_b 3.7629
_cell_length_c 26.2826
_cell_angle_alpha 90.00
_cell_angle_beta 90.00
_cell_angle_gamma 90.00
loop_
_atom_site_label
_atom_site_fract_x
_atom_site_fract_y
_atom_site_fract_z
K1 0.0000 0.0000 0.0965
K2 0.0000 0.0000 0.3017
Na1 0.0000 0.0000 0.5000
F1 0.0000 0.0000 0.0000
F2 0.0000 0.0000 0.1987
F3 0.0000 0.0000 0.4097
```

Properties
E_form (uncorrected) ... -2.699 eV/atom

***

# 2
Below is a relaxed structure of K2NaF2, with properties calculated at the GGA-PBE level.

Cell and atoms, written as CIF:
```
data_K2NaF2
_chemical_formula_sum 'K4 Na2 F4'
_space_group_name_H-M_alt 'I 4/m m m'
_space_group_IT_number 139
_space_group_name_Hall '-I 4 2'
_cell_length_a 4.9021
_cell_length_b 4.9021
_cell_length_c 13.4069
_cell_angle_alpha 90.00
_cell_angle_beta 90.00
_cell_angle_gamma 90.00
loop_
_atom_site_label
_atom_site_fract_x
_atom_site_fract_y
_atom_site_fract_z
K1 0.0000 0.0000 0.1939
Na1 0.0000 0.0000 0.5000
F1 0.0000 0.5000 0.2500
```

Properties
E_form (uncorrected) ... -1.926 eV/atom

***

# 3
Below is a relaxed structure of K12Na3F5, with properties calculated at the GGA-PBE level.

Cell and atoms, written as CIF:
```
data_K12Na3F5
_chemical_formula_sum 'K96 Na24 F40'
_space_group_name_H-M_alt 'I a -3 d'
_space_group_IT_number 230
_space_group_name_Hall '-I 4bd 2c 3'
_cell_length_a 18.7551
_cell_length_b 18.7551
_cell_length_c 18.7551
_cell_angle_alpha 90.00
_cell_angle_beta 90.00
_cell_angle_gamma 90.00
loop_
_atom_site_label
_atom_site_fract_x
_atom_site_fract_y
_atom_site_fract_z
K1 0.0367 0.1456 0.9571
Na1 0.0000 0.2500 0.1250
F1 0.0000 0.0000 0.0000
F2 0.0000 0.2500 0.3750
```

Properties
E_form (uncorrected) ... -1.230 eV/atom

***

# 4
Below is a relaxed structure of KNaF2, with properties calculated at the GGA-PBE level.

Cell and atoms, written as CIF:
```
data_KNaF2
_chemical_formula_sum 'K2 Na2 F4'
_space_group_name_H-M_alt 'P 4/n m m'
_space_group_IT_number 129
_cell_length_a 4.1746
_cell_length_b 4.1746
_cell_length_c 8.2481
_cell_angle_alpha 90.00
_cell_angle_beta 90.00
_cell_angle_gamma 90.00
loop_
_space_group_symop_operation_xyz
'x,y,z'
'-x,-y,-z'
'-y+1/2,x,z'
'y+1/2,-x,-z'
'-x+1/2,-y+1/2,z'
'x+1/2,y+1/2,-z'
'y,-x+1/2,z'
'-y,x+1/2,-z'
'x+1/2,-y,-z'
'-x+1/2,y,z'
'-y,-x,-z'
'y,x,z'
'-x,y+1/2,-z'
'x,-y+1/2,z'
'y+1/2,x+1/2,-z'
'-y+1/2,-x+1/2,z'
loop_
_atom_site_label
_atom_site_fract_x
_atom_site_fract_y
_atom_site_fract_z
K1 0.2500 0.2500 0.1675
Na1 0.2500 0.2500 0.5889
F1 0.2500 0.2500 0.8571
F2 0.2500 0.7500 0.5000
```

Properties
E_form (uncorrected) ... -2.650 eV/atom

***

# 5
Below is a relaxed structure of KNaF4, with properties calculated at the GGA-PBE level.

Cell and atoms, written as CIF:
```
data_KNaF4
_chemical_formula_sum 'K4 Na4 F16'
_space_group_name_H-M_alt 'C 1 2/c 1'
_space_group_IT_number 15
_cell_length_a 13.7799
_cell_length_b 5.2336
_cell_length_c 5.9939
_cell_angle_alpha 90.00
_cell_angle_beta 114.03
_cell_angle_gamma 90.00
loop_
_space_group_symop_operation_xyz
'x,y,z'
'-x,-y,-z'
'-x,y,-z+1/2'
'x,-y,z+1/2'
'x+1/2,y+1/2,z'
'-x+1/2,-y+1/2,-z'
'-x+1/2,y+1/2,-z+1/2'
'x+1/2,-y+1/2,z+1/2'
loop_
_atom_site_label
_atom_site_fract_x
_atom_site_fract_y
_atom_site_fract_z
K1 0.0000 0.2364 0.2500
Na1 0.2500 0.2500 0.0000
F1 0.0688 0.2727 0.7336
F2 0.2115 0.1623 0.3414
```

Properties
E_form (uncorrected) ... -1.837 eV/atom

***

# 6
Below is a relaxed structure of KNaF2, with properties calculated at the GGA-PBE level.

Cell and atoms, written as CIF:
```
data_KNaF2
_chemical_formula_sum 'K3 Na3 F6'
_space_group_name_H-M_alt 'R -3 m'
_space_group_IT_number 166
_space_group_name_Hall '-R 3 2"'
_cell_length_a 3.5587
_cell_length_b 3.5587
_cell_length_c 17.6586
_cell_angle_alpha 90.00
_cell_angle_beta 90.00
_cell_angle_gamma 120.00
loop_
_atom_site_label
_atom_site_fract_x
_atom_site_fract_y
_atom_site_fract_z
K1 0.0000 0.0000 0.0000
Na1 0.0000 0.0000 0.5000
F1 0.0000 0.0000 0.2397
```

Properties
E_form (uncorrected) ... -2.692 eV/atom

***

# 7
Below is a relaxed structure of KNa3F, with properties calculated at the GGA-PBE level.

Cell and atoms, written as CIF:
```
data_KNa3F
_chemical_formula_sum 'K1 Na3 F1'
_space_group_name_H-M_alt 'P m -3 m'
_space_group_IT_number 221
_space_group_name_Hall '-P 4 2 3'
_cell_length_a 6.6462
_cell_length_b 6.6462
_cell_length_c 6.6462
_cell_angle_alpha 90.00
_cell_angle_beta 90.00
_cell_angle_gamma 90.00
loop_
_atom_site_label
_atom_site_fract_x
_atom_site_fract_y
_atom_site_fract_z
K1 0.0000 0.0000 0.0000
Na1 0.0000 0.0000 0.5000
F1 0.5000 0.5000 0.5000
```

Properties
E_form (uncorrected) ... 0.027 eV/atom

***

# 8
Below is a relaxed structure of K2Na2F5, with properties calculated at the GGA-PBE level.

Cell and atoms, written as CIF:
```
data_K2Na2F5
_chemical_formula_sum 'K4 Na4 F10'
_space_group_name_H-M_alt 'C 1 2/m 1'
_space_group_IT_number 12
_cell_length_a 11.5374
_cell_length_b 4.9594
_cell_length_c 5.8812
_cell_angle_alpha 90.00
_cell_angle_beta 117.57
_cell_angle_gamma 90.00
loop_
_space_group_symop_operation_xyz
'x,y,z'
'-x,-y,-z'
'-x,y,-z'
'x,-y,z'
'x+1/2,y+1/2,z'
'-x+1/2,-y+1/2,-z'
'-x+1/2,y+1/2,-z'
'x+1/2,-y+1/2,z'
loop_
_atom_site_label
_atom_site_fract_x
_atom_site_fract_y
_atom_site_fract_z
K1 0.1119 0.0000 0.3864
Na1 0.1380 0.5000 0.9242
F1 0.0000 0.5000 0.5000
F2 0.1246 0.5000 0.2949
F3 0.1430 0.0000 0.9143
```

Properties
E_form (uncorrected) ... -2.405 eV/atom

***

# 9
Below is a relaxed structure of KNaF2, with properties calculated at the GGA-PBE level.

Cell and atoms, written as CIF:
```
data_KNaF2
_chemical_formula_sum 'K1 Na1 F2'
_space_group_name_H-M_alt 'P 4/m m m'
_space_group_IT_number 123
_space_group_name_Hall '-P 4 2'
_cell_length_a 3.0644
_cell_length_b 3.0644
_cell_length_c 6.1631
_cell_angle_alpha 90.00
_cell_angle_beta 90.00
_cell_angle_gamma 90.00
loop_
_atom_site_label
_atom_site_fract_x
_atom_site_fract_y
_atom_site_fract_z
K1 0.0000 0.0000 0.0000
Na1 0.0000 0.0000 0.5000
F1 0.5000 0.5000 0.2700
```

Properties
E_form (uncorrected) ... -2.558 eV/atom

***

# 10
Below is a relaxed structure of KNa2F, with properties calculated at the GGA-PBE level.

Cell and atoms, written as CIF:
```
data_KNa2F
_chemical_formula_sum 'K4 Na8 F4'
_space_group_name_H-M_alt 'F m -3 m'
_space_group_IT_number 225
_space_group_name_Hall '-F 4 2 3'
_cell_length_a 7.9870
_cell_length_b 7.9870
_cell_length_c 7.9870
_cell_angle_alpha 90.00
_cell_angle_beta 90.00
_cell_angle_gamma 90.00
loop_
_atom_site_label
_atom_site_fract_x
_atom_site_fract_y
_atom_site_fract_z
K1 0.0000 0.0000 0.0000
Na1 0.2500 0.2500 0.2500
F1 0.0000 0.0000 0.5000
```

Properties
E_form (uncorrected) ... -0.626 eV/atom

***

# 11
Below is a relaxed structure of KNaF2, with properties calculated at the GGA-PBE level.

Cell and atoms, written as CIF:
```
data_KNaF2
_chemical_formula_sum 'K4 Na4 F8'
_space_group_name_H-M_alt 'F m -3 m'
_space_group_IT_number 225
_space_group_name_Hall '-F 4 2 3'
_cell_length_a 6.1814
_cell_length_b 6.1814
_cell_length_c 6.1814
_cell_angle_alpha 90.00
_cell_angle_beta 90.00
_cell_angle_gamma 90.00
loop_
_atom_site_label
_atom_site_fract_x
_atom_site_fract_y
_atom_site_fract_z
K1 0.0000 0.0000 0.0000
Na1 0.0000 0.0000 0.5000
F1 0.2500 0.2500 0.2500
```

Properties
E_form (uncorrected) ... -2.542 eV/atom

***

# 12
Below is a relaxed structure of KNaF2, with properties calculated at the GGA-PBE level.

Cell and atoms, written as CIF:
```
data_KNaF2
_chemical_formula_sum 'K4 Na4 F8'
_space_group_name_H-M_alt 'I -4 2 d'
_space_group_IT_number 122
_space_group_name_Hall 'I -4 2bw'
_cell_length_a 5.6764
_cell_length_b 5.6764
_cell_length_c 10.3844
_cell_angle_alpha 90.00
_cell_angle_beta 90.00
_cell_angle_gamma 90.00
loop_
_atom_site_label
_atom_site_fract_x
_atom_site_fract_y
_atom_site_fract_z
K1 0.0000 0.0000 0.0000
Na1 0.0000 0.0000 0.5000
F1 0.2006 0.2500 0.6250
```

Properties
E_form (uncorrected) ... -2.640 eV/atom

***

no.,final energy (eV/atom)
1,-4.2052
2,-3.3773
3,-2.5539
4,-4.1903
5,-3.4870
6,-4.2315
7,-1.3582
8,-3.9817
9,-4.0974
10,-2.0278
11,-4.0814
12,-4.1796